Record 1
The following is a PBE calculation of an optimized crystal structure of La2GdSn3Pb4, from OQMD.

Calculated values
**Distance to the lowest polymorph of the same formula**: 0.0 meV/atom
**E**: -4.65 eV per atom

Cell: 4.6411 26.3489 4.7760 Å, 90.00 90.00 90.00°
With the nearest neighbours (Å) after each atom.
Space group Cmmm (No. 65)
One atom of each set of equivalent atoms:
La 0.0000 0.1871 0.0000  4 Pb 3.39-3.41, 6 Sn 3.39-3.59
Gd 0.0000 0.0000 0.0000  4 Sn 3.33, 8 Pb 3.38-3.45
Sn 0.0000 0.2888 0.5000  2 Sn 3.09, 4 La 3.39
Sn 0.0000 0.5000 0.5000  4 Gd 3.33, 8 Pb 3.41-3.43
Pb 0.0000 0.0946 0.5000  4 Pb 3.33, 2 Sn 3.41, 2 La 3.41, 2 Gd 3.45
Pb 0.0000 0.4066 0.0000  4 Pb 3.33, 2 Gd 3.38, 2 La 3.39, 2 Sn 3.43

***

Record 2
The following is a PBE calculation of an optimized crystal structure of Tb, from OQMD.

Calculated values
**Distance to the lowest polymorph of the same formula**: 200.8 meV/atom
**E**: -4.43 eV per atom
**Calculated formation energy**: 0.20 eV/f.u.

Cell: 12.3353 12.3353 12.3353 Å, 90.00 90.00 90.00°
With the nearest neighbours (Å) after each atom.
Space group I-43m (No. 217)
One atom of each set of equivalent atoms:
Tb 0.0000 0.0000 0.0000  16 Tb 3.76-3.85
Tb 0.0551 0.3674 0.3674  8 Tb 3.40-3.57
Tb 0.0936 0.0936 0.2823  8 Tb 3.26-3.57
Tb 0.1759 0.1759 0.8241  10 Tb 3.40-3.76

***

Record 3
The following is a PBE calculation of an optimized crystal structure of SmHoPO, from OQMD.

Calculated values
**Distance to the lowest polymorph of the same formula**: 179.4 meV/atom
**E**: -6.75 eV per atom

Cell: 4.3069 4.3069 8.6933 Å, 90.00 90.00 90.00°
With the nearest neighbours (Å) after each atom.
Space group P4/nmm (No. 129, origin choice 2)
One atom of each set of equivalent atoms:
Sm 0.2500 0.7500 0.0000  4 P 2.81, 4 Sm 3.05
Ho 0.2500 0.2500 0.4029  4 O 2.31
P 0.2500 0.2500 0.7928  4 Sm 2.81
O 0.2500 0.7500 0.5000  4 Ho 2.31

***

Record 4
The following is a PBE calculation of an optimized crystal structure of ErSi2NiPd, from OQMD.

Calculated values
**E**: -6.10 eV per atom

Cell: 4.0273 4.0273 9.8104 Å, 90.00 90.00 90.00°
With the nearest neighbours (Å) after each atom.
Space group I-4m2 (No. 119)
One atom of each set of equivalent atoms:
Er 0.0000 0.0000 0.0000  8 Si 3.08, 4 Pd 3.17, 4 Ni 3.17
Si 0.0000 0.0000 0.3810  1 Si 2.33, 2 Ni 2.39, 2 Pd 2.39
Ni 0.0000 0.5000 0.7500  4 Si 2.39
Pd 0.0000 0.5000 0.2500  4 Si 2.39

***

These records have spin magnetization values of 0.00 0.04 0.00 0.00 μB per atom, in the order they appear.